Entry 1:
Entry from Alexandria: a geometry-optimized In2Pd2Au structure (GGA-PBE).

energy of formation from the pure elements: -0.3906 eV/atom
theoretical density: 11.4 g/cm3
E above lowest polymorph: 0 meV per atom

```
data_In2Pd2Au
_cell_length_a 4.421
_cell_length_b 15.037
_cell_length_c 5.600
_cell_angle_alpha 90.00
_cell_angle_beta 90.00
_cell_angle_gamma 90.00
_symmetry_space_group_name_H-M 'C m c 21'
_symmetry_Int_Tables_number 36
loop_
_symmetry_equiv_pos_as_xyz
'x,y,z'
'-x,-y,z+1/2'
'-x,y,z'
'x,-y,z+1/2'
'x+1/2,y+1/2,z'
'-x+1/2,-y+1/2,z+1/2'
'-x+1/2,y+1/2,z'
'x+1/2,-y+1/2,z+1/2'
loop_
_atom_site_label
_atom_site_fract_x
_atom_site_fract_y
_atom_site_fract_z
In1 0.000 0.066 0.000
In2 0.000 0.283 0.192
Pd1 0.000 0.337 0.674
Pd2 0.000 0.470 0.214
Au1 0.000 0.128 0.495
```


Entry 2:
Entry from Alexandria: a geometry-optimized CsNaLaTe2 structure (GGA-PBE).

theoretical density: 4.0 g/cm3
uncorrected formation energy: -0.98 eV/atom

```
data_CsNaLaTe2
_cell_length_a 6.862
_cell_length_b 17.237
_cell_length_c 7.730
_cell_angle_alpha 90.00
_cell_angle_beta 90.00
_cell_angle_gamma 90.00
_symmetry_space_group_name_H-M 'C m m e'
_symmetry_Int_Tables_number 67
_symmetry_space_group_name_Hall '-C 2a 2'
loop_
_atom_site_label
_atom_site_fract_x
_atom_site_fract_y
_atom_site_fract_z
Cs1 0.000 0.250 0.250
Na1 0.000 0.000 0.000
La1 0.250 0.000 0.500
Te1 0.000 0.120 0.727
```


Number 1: D(E_F) 0.39 states/eV/atom. Number 2: D(E_F) 0.44 states/eV/atom.